The following is a PBE calculation of a relaxed ZrI crystal, from the Alexandria database.

Lattice parameters (Å, degrees): 3.6701 3.6701 10.6437 90.00 90.00 120.00
Closest atoms and distances in Å follow each position.
Atoms (fractional coordinates):
Zr 0.0000 0.0000 0.0000  3 I 2.98, 3 Zr 3.16
Zr 0.3333 0.6667 0.2204  3 I 2.96, 3 Zr 3.16
I 0.3333 0.6667 0.8031  3 Zr 2.98
I 0.6667 0.3333 0.4143  3 Zr 2.96

Properties
Raw formation energy, meV per atom: -556


The following is a PBE calculation of a relaxed Ac4IrRhI2 crystal, from the Alexandria database.

Lattice parameters (Å, degrees): 7.5924 4.3857 9.0157 90.00 106.19 90.00
Closest atoms and distances in Å follow each position.
Atoms (fractional coordinates):
Ac 0.2264 0.0000 0.1842  2 Ir 2.99, 1 Rh 3.00
Ac 0.2707 0.5000 0.8156  1 Ir 2.98, 2 Rh 3.00
Ac 0.7293 0.5000 0.1844  1 Ir 2.98, 2 Rh 3.00
Ac 0.7736 0.0000 0.8158  2 Ir 2.99, 1 Rh 3.00
Ir 0.0000 0.5000 0.0000  6 Ac 2.98-2.99
Rh 0.5000 0.0000 0.0000  6 Ac 3.00
I 0.0000 0.0000 0.5000  6 Ac 3.71-3.72
I 0.5000 0.5000 0.5000  6 Ac 3.73

Properties
Raw formation energy, meV per atom: -1055


The following is a PBE calculation of a relaxed ScMn3 crystal, from the Alexandria database.

Lattice parameters (Å, degrees): 2.9199 2.9199 8.3620 90.00 90.00 120.00
Closest atoms and distances in Å follow each position.
Atoms (fractional coordinates):
Sc 0.0000 0.0000 0.0000  6 Mn 2.86, 6 Sc 2.92
Mn 0.0000 0.0000 0.5000  6 Mn 2.52
Mn 0.6667 0.3333 0.2766  3 Mn 2.52
Mn 0.6667 0.3333 0.7234  3 Mn 2.52

Properties
ΔH_f (0 K), eV per atom: 0.362


The following is a PBE calculation of a relaxed Si2AuSe crystal, from the Alexandria database.

Lattice parameters (Å, degrees): 9.7632 9.7632 9.7632 17.95 17.95 17.95
Closest atoms and distances in Å follow each position.
Atoms (fractional coordinates):
Si 0.0000 0.0000 0.0000  3 Si 2.56
Si 0.2690 0.2690 0.2690  3 Si 2.56, 3 Au 2.61
Au 0.5354 0.5354 0.5354  3 Si 2.61
Se 0.7843 0.7843 0.7843  3 Au 3.00, 6 Se 3.05

Properties
Raw formation energy, meV per atom: 449


The following is a PBE calculation of a relaxed Ta2CdAs crystal, from the Alexandria database.

Lattice parameters (Å, degrees): 9.3120 9.3120 9.3120 18.87 18.87 18.87
Closest atoms and distances in Å follow each position.
Atoms (fractional coordinates):
Ta 0.2420 0.2420 0.2420  3 As 2.72
Ta 0.7580 0.7580 0.7580  3 As 2.72
Cd 0.0000 0.0000 0.0000  6 Cd 3.05, 6 Ta 3.06
As 0.5000 0.5000 0.5000  6 Ta 2.72

Properties
ΔH_f (0 K), eV per atom: 0.208
E above lowest polymorph, meV per atom: 175.5


The following is a PBE calculation of a relaxed Ca5ZnAu4 crystal, from the Alexandria database.

Lattice parameters (Å, degrees): 3.6694 3.6694 18.0235 90.00 90.00 90.00
Closest atoms and distances in Å follow each position.
Atoms (fractional coordinates):
Ca 0.0000 0.0000 0.0000  8 Au 3.15
Ca 0.0000 0.0000 0.1984  8 Au 3.15-3.17
Ca 0.0000 0.0000 0.3966  4 Au 3.13, 4 Zn 3.19
Ca 0.0000 0.0000 0.6034  4 Au 3.13, 4 Zn 3.19
Ca 0.0000 0.0000 0.8016  8 Au 3.15-3.17
Zn 0.5000 0.5000 0.5000  8 Ca 3.19
Au 0.5000 0.5000 0.0995  8 Ca 3.15
Au 0.5000 0.5000 0.2999  8 Ca 3.13-3.17
Au 0.5000 0.5000 0.7001  8 Ca 3.13-3.17
Au 0.5000 0.5000 0.9005  8 Ca 3.15

Properties
ΔH_f (0 K), eV per atom: -0.677


The following is a PBE calculation of a relaxed SrRuSe2 crystal, from the Alexandria database.

Lattice parameters (Å, degrees): 3.2876 3.2876 9.0236 90.00 90.00 90.00
Closest atoms and distances in Å follow each position.
Atoms (fractional coordinates):
Sr 0.0000 0.0000 0.0000  4 Se 3.09, 4 Sr 3.29, 4 Ru 3.40
Ru 0.5000 0.5000 0.2743  4 Se 2.53
Se 0.0000 0.0000 0.3859  4 Ru 2.53
Se 0.5000 0.5000 0.7742  4 Sr 3.09, 4 Se 3.29

Properties
Raw formation energy, meV per atom: -337
E above lowest polymorph, meV per atom: 549.8


The following is a PBE calculation of a relaxed Pu2TlRh crystal, from the Alexandria database.

Lattice parameters (Å, degrees): 3.3365 3.3365 8.5132 90.00 90.00 90.00
Closest atoms and distances in Å follow each position.
Atoms (fractional coordinates):
Pu 0.0000 0.0000 0.2078  4 Rh 2.95
Pu 0.0000 0.0000 0.7922  4 Rh 2.95
Tl 0.5000 0.5000 0.5000  4 Tl 3.34, 8 Pu 3.43
Rh 0.5000 0.5000 0.0000  8 Pu 2.95

Properties
ΔH_f (0 K), eV per atom: -0.258
E above lowest polymorph, meV per atom: 0.0


The following is a PBE calculation of a relaxed Na2IrPtC crystal, from the Alexandria database.

Lattice parameters (Å, degrees): 5.5481 5.5481 4.7200 90.00 90.00 90.00
Closest atoms and distances in Å follow each position.
Atoms (fractional coordinates):
Na 0.0000 0.5000 0.0000  2 Ir 2.77
Na 0.5000 0.0000 0.0000  2 Ir 2.77
Ir 0.0000 0.0000 0.0000  2 Pt 2.36
Pt 0.0000 0.0000 0.5000  2 Ir 2.36
C 0.5000 0.5000 0.5000  8 Na 3.64, 4 Pt 3.92

Properties
ΔH_f (0 K), eV per atom: 1.881


The following is a PBE calculation of a relaxed CoGe2Se2 crystal, from the Alexandria database.

Lattice parameters (Å, degrees): 12.1340 12.1319 4.0743 80.36 80.31 19.33
Closest atoms and distances in Å follow each position.
Atoms (fractional coordinates):
Co 0.1250 0.1250 0.1250  4 Se 2.41, 4 Ge 2.58
Co 0.8750 0.8750 0.8750  4 Se 2.41, 4 Ge 2.58
Ge 0.0581 0.0581 0.6919  2 Co 2.58, 1 Se 2.87
Ge 0.3081 0.3081 0.9419  2 Co 2.58, 1 Se 2.87
Ge 0.6919 0.6919 0.0581  2 Co 2.58, 1 Se 2.87
Ge 0.9419 0.9419 0.3081  2 Co 2.58, 1 Se 2.87
Se 0.1798 0.1798 0.5702  2 Co 2.41
Se 0.4298 0.4298 0.8202  2 Co 2.41
Se 0.5702 0.5702 0.1798  2 Co 2.41
Se 0.8202 0.8202 0.4298  2 Co 2.41

Properties
Raw formation energy, meV per atom: -38


The following is a PBE calculation of a relaxed Tb2InI crystal, from the Alexandria database.

Lattice parameters (Å, degrees): 9.6037 9.6037 9.6037 23.14 23.14 23.14
Closest atoms and distances in Å follow each position.
Atoms (fractional coordinates):
Tb 0.2466 0.2466 0.2466  3 In 3.16, 3 I 3.30
Tb 0.7534 0.7534 0.7534  3 In 3.16, 3 I 3.30
In 0.5000 0.5000 0.5000  6 Tb 3.16
I 0.0000 0.0000 0.0000  6 Tb 3.30

Properties
Raw formation energy, meV per atom: -519
E above lowest polymorph, meV per atom: 54.2


The following is a PBE calculation of a relaxed La8Ir5Au crystal, from the Alexandria database.

Lattice parameters (Å, degrees): 7.8606 7.8606 7.8606 109.00 109.00 110.41
Closest atoms and distances in Å follow each position.
Atoms (fractional coordinates):
La 0.2521 0.5078 0.6168  2 Ir 2.85-2.90, 1 Au 3.04
La 0.3647 0.7479 0.2557  2 Ir 2.85-2.90, 1 Au 3.04
La 0.3748 0.2357 0.2540  3 Ir 2.86-2.94
La 0.4922 0.1090 0.7443  2 Ir 2.85-2.90, 1 Au 3.04
La 0.7643 0.0183 0.1391  3 Ir 2.86-2.94
La 0.8792 0.6252 0.8609  3 Ir 2.86-2.94
La 0.8910 0.6353 0.3832  2 Ir 2.85-2.90, 1 Au 3.04
La 0.9817 0.1208 0.7460  3 Ir 2.86-2.94
Ir 0.1277 0.0064 0.3864  4 La 2.85-2.94
Ir 0.2586 0.8723 0.8787  4 La 2.85-2.94
Ir 0.6200 0.7414 0.6136  4 La 2.85-2.94
Ir 0.7500 0.2500 0.5000  4 La 2.89
Ir 0.9936 0.3800 0.1213  4 La 2.85-2.94
Au 0.5000 0.5000 0.0000  4 La 3.04

Properties
ΔH_f (0 K), eV per atom: -0.728


The following is a PBE calculation of a relaxed YAl3 crystal, from the Alexandria database.

Lattice parameters (Å, degrees): 5.8410 5.8410 5.8410 90.00 90.00 90.00
Closest atoms and distances in Å follow each position.
Atoms (fractional coordinates):
Y 0.0000 0.0000 0.0000  6 Al 2.92
Al 0.0000 0.0000 0.5000  2 Y 2.92
Al 0.0000 0.5000 0.0000  2 Y 2.92
Al 0.5000 0.0000 0.0000  2 Y 2.92

Properties
ΔH_f (0 K), eV per atom: 1.394


The following is a PBE calculation of a relaxed Sb3SeO crystal, from the Alexandria database.

Lattice parameters (Å, degrees): 5.3708 5.3708 5.3708 90.00 90.00 90.00
Closest atoms and distances in Å follow each position.
Atoms (fractional coordinates):
Sb 0.0000 0.0000 0.5000  2 Se 2.69
Sb 0.0000 0.5000 0.0000  2 Se 2.69
Sb 0.5000 0.0000 0.0000  2 Se 2.69
Se 0.0000 0.0000 0.0000  6 Sb 2.69
O 0.5000 0.5000 0.5000  12 Sb 3.80

Properties
Raw formation energy, meV per atom: 1166
E above lowest polymorph, meV per atom: 982.0


The following is a PBE calculation of a relaxed GeCO2F crystal, from the Alexandria database.

Lattice parameters (Å, degrees): 3.5361 3.5361 3.8186 90.00 90.00 90.00
Closest atoms and distances in Å follow each position.
Atoms (fractional coordinates):
Ge 0.0000 0.0000 0.0000  4 F 2.50, 8 O 2.60
C 0.5000 0.5000 0.5000  4 O 1.77, 2 F 1.91
O 0.0000 0.5000 0.5000  2 C 1.77
O 0.5000 0.0000 0.5000  2 C 1.77
F 0.5000 0.5000 0.0000  2 C 1.91

Properties
Raw formation energy, meV per atom: 295


The following is a PBE calculation of a relaxed Tb4Nd2Dy crystal, from the Alexandria database.

Lattice parameters (Å, degrees): 8.6593 8.6593 8.8388 119.15 119.15 23.69
Closest atoms and distances in Å follow each position.
Atoms (fractional coordinates):
Tb 0.1449 0.1449 0.3464  7 Tb 3.54-3.78, 4 Nd 3.68-3.70, 2 Dy 3.79
Tb 0.2046 0.2046 0.7918  3 Nd 3.36-3.55, 5 Tb 3.54-3.67, 2 Dy 3.60
Tb 0.7954 0.7954 0.2082  3 Nd 3.36-3.55, 5 Tb 3.54-3.67, 2 Dy 3.60
Tb 0.8551 0.8551 0.6536  7 Tb 3.54-3.78, 4 Nd 3.68-3.70, 2 Dy 3.79
Nd 0.4302 0.4302 0.0704  3 Nd 3.17-3.56, 3 Tb 3.36-3.55, 1 Dy 3.37
Nd 0.5698 0.5698 0.9296  3 Nd 3.17-3.56, 3 Tb 3.36-3.55, 1 Dy 3.37
Dy 0.5000 0.5000 0.5000  2 Nd 3.37, 2 Dy 3.56, 4 Tb 3.60

Properties
ΔH_f (0 K), eV per atom: 0.053
E above lowest polymorph, meV per atom: 37.8


The following is a PBE calculation of a relaxed CePuP2 crystal, from the Alexandria database.

Lattice parameters (Å, degrees): 4.0579 4.0579 6.8079 90.00 90.00 120.00
Closest atoms and distances in Å follow each position.
Atoms (fractional coordinates):
Ce 0.0000 0.0000 0.0000  6 P 2.93
Pu 0.0000 0.0000 0.5000  6 P 2.87
P 0.3333 0.6667 0.7422  3 Pu 2.87, 3 Ce 2.93
P 0.6667 0.3333 0.2578  3 Pu 2.87, 3 Ce 2.93

Properties
ΔH_f (0 K), eV per atom: -1.119
E above lowest polymorph, meV per atom: 214.4


The following is a PBE calculation of a relaxed CeTaFe10 crystal, from the Alexandria database.

Lattice parameters (Å, degrees): 4.0129 4.8256 8.3559 90.00 90.00 90.00
Closest atoms and distances in Å follow each position.
Atoms (fractional coordinates):
Ce 0.0000 0.0000 0.0000  10 Fe 2.85-3.14
Ta 0.0000 0.5000 0.5000  6 Fe 2.67-2.74
Fe 0.0000 0.0000 0.3436  7 Fe 2.39-2.61
Fe 0.0000 0.0000 0.6564  7 Fe 2.39-2.61
Fe 0.0000 0.5000 0.1809  6 Fe 2.42-2.51, 1 Ta 2.67
Fe 0.0000 0.5000 0.8191  6 Fe 2.42-2.51, 1 Ta 2.67
Fe 0.5000 0.0000 0.5000  8 Fe 2.34-2.39
Fe 0.5000 0.2556 0.2623  8 Fe 2.34-2.49
Fe 0.5000 0.2556 0.7377  8 Fe 2.34-2.49
Fe 0.5000 0.5000 0.0000  8 Fe 2.49-2.51
Fe 0.5000 0.7444 0.2623  8 Fe 2.34-2.49
Fe 0.5000 0.7444 0.7377  8 Fe 2.34-2.49

Properties
ΔH_f (0 K), eV per atom: 0.044


The following is a PBE calculation of a relaxed SmDyPb crystal, from the Alexandria database.

Lattice parameters (Å, degrees): 5.2564 6.4604 17.2841 90.00 90.00 90.00
Closest atoms and distances in Å follow each position.
Atoms (fractional coordinates):
Sm 0.0000 0.1151 0.0000  3 Pb 3.35-3.50, 4 Dy 3.40-3.65, 1 Sm 3.70
Sm 0.0000 0.2824 0.2045  4 Pb 3.21-3.50, 3 Dy 3.50-3.52
Sm 0.0000 0.3255 0.7947  4 Pb 3.20-3.27
Sm 0.5000 0.6745 0.2947  4 Pb 3.20-3.27
Sm 0.5000 0.7176 0.7045  4 Pb 3.21-3.50, 3 Dy 3.50-3.52
Sm 0.5000 0.8849 0.5000  3 Pb 3.35-3.50, 4 Dy 3.40-3.65, 1 Sm 3.70
Dy 0.0000 0.1806 0.4036  4 Pb 3.14-3.23, 1 Sm 3.50
Dy 0.0000 0.4903 0.5771  3 Pb 3.19-3.35, 2 Dy 3.28-3.34
Dy 0.0000 0.9952 0.6178  3 Pb 3.13-3.39, 2 Dy 3.28-3.34, 2 Sm 3.40
Dy 0.5000 0.0048 0.1178  3 Pb 3.13-3.39, 2 Dy 3.28-3.34, 2 Sm 3.40
Dy 0.5000 0.5097 0.0771  3 Pb 3.19-3.35, 2 Dy 3.28-3.34
Dy 0.5000 0.8194 0.9036  4 Pb 3.14-3.23, 1 Sm 3.50
Pb 0.0000 0.6805 0.4067  3 Dy 3.19-3.23, 4 Sm 3.26-3.35
Pb 0.0000 0.7589 0.1529  4 Dy 3.13-3.35, 3 Sm 3.21-3.50
Pb 0.0000 0.8315 0.8044  3 Dy 3.14-3.39, 4 Sm 3.20-3.27
Pb 0.5000 0.1685 0.3044  3 Dy 3.14-3.39, 4 Sm 3.20-3.27
Pb 0.5000 0.2411 0.6529  4 Dy 3.13-3.35, 3 Sm 3.21-3.50
Pb 0.5000 0.3195 0.9067  3 Dy 3.19-3.23, 4 Sm 3.26-3.35

Properties
ΔH_f (0 K), eV per atom: -0.275
E above lowest polymorph, meV per atom: 164.1


The following is a PBE calculation of a relaxed TbLuNi2 crystal, from the Alexandria database.

Lattice parameters (Å, degrees): 4.7633 4.7633 3.2981 90.00 90.00 90.00
Closest atoms and distances in Å follow each position.
Atoms (fractional coordinates):
Tb 0.0000 0.0000 0.0000  8 Ni 2.90
Lu 0.5000 0.5000 0.0000  8 Ni 2.90
Ni 0.0000 0.5000 0.5000  4 Tb 2.90, 4 Lu 2.90
Ni 0.5000 0.0000 0.5000  4 Tb 2.90, 4 Lu 2.90

Properties
ΔH_f (0 K), eV per atom: -0.422
E above lowest polymorph, meV per atom: 1.0


Taking the records one at a time from the top gives D(E_F) values of 0.57; 1.93; 6.10; 4.39; 3.43; 6.15; 1.90; 13.06; 4.16; 2.99; 1.94; 5.30; 4.74; 23.92; 2.53; 10.80; 8.40; 14.71; 2.47; 2.68 states/eV/f.u..